# 1
The following is a PBE calculation of a geometry-optimized Ta10Al3 structure, from the Open Quantum Materials Database.

Cell lengths 9.9368, 9.9368, 9.9368 Å; angles 31.87, 31.87, 31.87 degrees
Atoms (fractional coordinates):
Ta  0.0465  0.0465  0.0465
Ta  0.0871  0.5920  0.5920
Ta  0.3331  0.3331  0.3331
Ta  0.4080  0.4080  0.9129
Ta  0.4080  0.9129  0.4080
Ta  0.5920  0.0871  0.5920
Ta  0.5920  0.5920  0.0871
Ta  0.6669  0.6669  0.6669
Ta  0.9129  0.4080  0.4080
Ta  0.9535  0.9535  0.9535
Al  0.1473  0.1473  0.1473
Al  0.5000  0.5000  0.5000
Al  0.8527  0.8527  0.8527

Summary:
polymorph energy (0 for the lowest one): 54.0 meV/atom
energy: -0.3619 Ha/atom

=====

# 2
The following is a PBE calculation of a geometry-optimized Ta5Al3 structure, from the Open Quantum Materials Database.

Cell lengths 7.8095, 7.8095, 5.2341 Å; angles 90.00, 90.00, 120.00 degrees
Atoms (fractional coordinates):
Ta  0.0000  0.2325  0.2500
Ta  0.0000  0.7675  0.7500
Ta  0.2325  0.0000  0.2500
Ta  0.2325  0.2325  0.7500
Ta  0.3333  0.6667  0.0000
Ta  0.3333  0.6667  0.5000
Ta  0.6667  0.3333  0.0000
Ta  0.6667  0.3333  0.5000
Ta  0.7675  0.0000  0.7500
Ta  0.7675  0.7675  0.2500
Al  0.0000  0.4029  0.7500
Al  0.0000  0.5971  0.2500
Al  0.4029  0.0000  0.7500
Al  0.4029  0.4029  0.2500
Al  0.5971  0.0000  0.2500
Al  0.5971  0.5971  0.7500

Summary:
energy: -0.3289 Ha/atom

=====

# 3
The following is a PBE calculation of a geometry-optimized TaAl structure, from the Open Quantum Materials Database.

Cell lengths 5.4449, 5.4449, 17.3100 Å; angles 90.00, 90.00, 120.00 degrees
Atoms (fractional coordinates):
Ta  0.0000  0.5000  0.0000
Ta  0.0000  0.5000  0.5000
Ta  0.1646  0.3292  0.2500
Ta  0.1646  0.8354  0.2500
Ta  0.3292  0.1646  0.7500
Ta  0.5000  0.0000  0.0000
Ta  0.5000  0.0000  0.5000
Ta  0.5000  0.5000  0.0000
Ta  0.5000  0.5000  0.5000
Ta  0.6708  0.8354  0.2500
Ta  0.8354  0.1646  0.7500
Ta  0.8354  0.6708  0.7500
Al  0.0000  0.0000  0.0905
Al  0.0000  0.0000  0.4095
Al  0.0000  0.0000  0.5905
Al  0.0000  0.0000  0.9095
Al  0.3333  0.6667  0.1251
Al  0.3333  0.6667  0.3749
Al  0.3333  0.6667  0.6583
Al  0.3333  0.6667  0.8417
Al  0.6667  0.3333  0.1583
Al  0.6667  0.3333  0.3417
Al  0.6667  0.3333  0.6251
Al  0.6667  0.3333  0.8749

Summary:
energy: -0.2786 Ha/atom